Here is a relaxed CsNiP crystal from the Alexandria database. Energies are from GGA-PBE.

Values from the calculation:
Formation energy: -42.9 kJ/mol of atoms

Cell and atoms, written as POSCAR:
```
CsNiP
1.0
4.082 0.000 0.000
0.704 4.021 0.000
0.299 0.203 11.479
Cs Ni P
2 2 2
Direct
0.228 0.304 0.227
0.772 0.696 0.773
0.207 0.705 0.500
0.793 0.295 0.500
0.303 0.189 0.575
0.697 0.811 0.425
```


Here is a relaxed CsNiP2Pb crystal from the Alexandria database. Energies are from GGA-PBE.

Values from the calculation:
Formation energy: 49.3 kJ/mol of atoms

Cell and atoms, written as POSCAR:
```
CsNiP2Pb
1.0
4.714 0.000 0.000
0.000 4.714 0.000
0.000 0.000 5.389
Cs Ni P Pb
1 1 2 1
Direct
0.000 0.000 0.000
0.000 0.000 0.500
0.000 0.500 0.500
0.500 0.000 0.500
0.500 0.500 0.000
```


Here is a relaxed CsReNiP2 crystal from the Alexandria database. Energies are from GGA-PBE.

Values from the calculation:
Formation energy: 323.1 kJ/mol of atoms

Cell and atoms, written as POSCAR:
```
CsReNiP2
1.0
5.287 0.000 0.000
0.000 5.287 0.000
0.000 0.000 5.370
Cs Re Ni P
1 1 1 2
Direct
0.000 0.000 0.000
0.000 0.000 0.500
0.500 0.500 0.500
0.000 0.500 0.000
0.500 0.000 0.000
```


Here is a relaxed Cs2ReNiP crystal from the Alexandria database. Energies are from GGA-PBE.

Values from the calculation:
Formation energy: 141.4 kJ/mol of atoms

Cell and atoms, written as POSCAR:
```
Cs2ReNiP
1.0
6.701 0.000 0.000
0.000 6.701 0.000
0.000 0.000 4.505
Cs Re Ni P
2 1 1 1
Direct
0.000 0.500 0.000
0.500 0.000 0.000
0.000 0.000 0.500
0.000 0.000 0.000
0.500 0.500 0.500
```


Here is a relaxed CsNiP2S crystal from the Alexandria database. Energies are from GGA-PBE.

Values from the calculation:
Formation energy (no corrections): 2320 meV per atom
E above lowest polymorph: 10.10 eV/f.u.

Cell and atoms, written as POSCAR:
```
CsNiP2S
1.0
5.636 0.000 0.000
0.000 5.636 0.000
0.000 0.000 5.334
Cs Ni P S
1 1 2 1
Direct
0.000 0.000 0.000
0.500 0.500 0.500
0.000 0.500 0.000
0.500 0.000 0.000
0.000 0.000 0.500
```


Here is a relaxed CsNiPS2 crystal from the Alexandria database. Energies are from GGA-PBE.

Values from the calculation:
Formation energy (no corrections): 2044 meV per atom
E above lowest polymorph: 9.68 eV/f.u.

Cell and atoms, written as POSCAR:
```
CsNiPS2
1.0
5.415 0.000 0.000
0.000 5.415 0.000
0.000 0.000 5.793
Cs Ni P S
1 1 1 2
Direct
0.000 0.000 0.000
0.500 0.500 0.500
0.000 0.000 0.500
0.000 0.500 0.000
0.500 0.000 0.000
```


Calculated calculated total energy (eV per atom), listed in the same order as above: -4.46, -3.72, -2.63, -3.60, -2.00, -2.02